# 1
# ScAg3Hg4 (GGA-PBE, optimized geometry)
# M_tot: 0.0 μB per formula unit
# Energy of formation: -0.07 eV/atom
# Symmetry: Pmma
data_ScAg3Hg4
_chemical_formula_sum 'Sc2 Ag6 Hg8'
_space_group_name_H-M_alt 'P 1'
_space_group_IT_number 1
_cell_length_a 9.768
_cell_length_b 6.849
_cell_length_c 4.930
_cell_angle_alpha 90.00
_cell_angle_beta 90.00
_cell_angle_gamma 90.00
loop_
_space_group_symop_operation_xyz
'x,y,z'
loop_
_atom_site_label
_atom_site_type_symbol
_atom_site_fract_x
_atom_site_fract_y
_atom_site_fract_z
_atom_site_occupancy
Sc1 Sc 0.000 0.000 0.000 1
Sc2 Sc 0.500 0.000 0.000 1
Ag1 Ag 0.000 0.500 0.000 1
Ag2 Ag 0.250 0.000 0.428 1
Ag3 Ag 0.250 0.500 0.425 1
Ag4 Ag 0.500 0.500 0.000 1
Ag5 Ag 0.750 0.000 0.572 1
Ag6 Ag 0.750 0.500 0.575 1
Hg1 Hg 0.000 0.254 0.500 1
Hg2 Hg 0.000 0.746 0.500 1
Hg3 Hg 0.250 0.253 0.935 1
Hg4 Hg 0.250 0.747 0.935 1
Hg5 Hg 0.500 0.254 0.500 1
Hg6 Hg 0.500 0.746 0.500 1
Hg7 Hg 0.750 0.253 0.065 1
Hg8 Hg 0.750 0.747 0.065 1

# 2
# Sc8Ag2Hg (GGA-PBE, optimized geometry)
# M_tot: 0.0 μB per formula unit
# Energy of formation: -0.15 eV/atom
# Symmetry: C2/m
data_Sc8Ag2Hg
_chemical_formula_sum 'Sc8 Ag2 Hg1'
_space_group_name_H-M_alt 'P 1'
_space_group_IT_number 1
_cell_length_a 7.864
_cell_length_b 7.864
_cell_length_c 7.811
_cell_angle_alpha 118.98
_cell_angle_beta 118.98
_cell_angle_gamma 36.29
loop_
_space_group_symop_operation_xyz
'x,y,z'
loop_
_atom_site_label
_atom_site_type_symbol
_atom_site_fract_x
_atom_site_fract_y
_atom_site_fract_z
_atom_site_occupancy
Sc1 Sc 0.065 0.065 0.220 1
Sc2 Sc 0.140 0.140 0.688 1
Sc3 Sc 0.317 0.317 0.549 1
Sc4 Sc 0.406 0.406 0.041 1
Sc5 Sc 0.594 0.594 0.959 1
Sc6 Sc 0.683 0.683 0.451 1
Sc7 Sc 0.860 0.860 0.312 1
Sc8 Sc 0.935 0.935 0.780 1
Ag1 Ag 0.222 0.222 0.115 1
Ag2 Ag 0.778 0.778 0.885 1
Hg1 Hg 0.500 0.500 0.500 1

# 3
# ScAgHg (GGA-PBE, optimized geometry)
# M_tot: 0.0 μB per formula unit
# Energy of formation: -0.20 eV/atom
# Symmetry: C2/m
data_ScAgHg
_chemical_formula_sum 'Sc4 Ag4 Hg4'
_space_group_name_H-M_alt 'P 1'
_space_group_IT_number 1
_cell_length_a 9.685
_cell_length_b 3.493
_cell_length_c 7.787
_cell_angle_alpha 90.00
_cell_angle_beta 102.37
_cell_angle_gamma 90.00
loop_
_space_group_symop_operation_xyz
'x,y,z'
loop_
_atom_site_label
_atom_site_type_symbol
_atom_site_fract_x
_atom_site_fract_y
_atom_site_fract_z
_atom_site_occupancy
Sc1 Sc 0.111 0.000 0.228 1
Sc2 Sc 0.389 0.500 0.772 1
Sc3 Sc 0.611 0.500 0.228 1
Sc4 Sc 0.889 0.000 0.772 1
Ag1 Ag 0.129 0.500 0.929 1
Ag2 Ag 0.371 0.000 0.071 1
Ag3 Ag 0.629 0.000 0.929 1
Ag4 Ag 0.871 0.500 0.071 1
Hg1 Hg 0.145 0.000 0.612 1
Hg2 Hg 0.355 0.500 0.388 1
Hg3 Hg 0.645 0.500 0.612 1
Hg4 Hg 0.855 0.000 0.388 1

# 4
# SmScAgHg (GGA-PBE, optimized geometry)
# M_tot: 0.2 μB per formula unit
# Polymorph energy (0 for the lowest one): 0 meV/atom
# Energy of formation: -0.35 eV/atom
# Symmetry: P4mm
data_SmScAgHg
_chemical_formula_sum 'Sm1 Sc1 Ag1 Hg1'
_space_group_name_H-M_alt 'P 1'
_space_group_IT_number 1
_cell_length_a 3.538
_cell_length_b 3.538
_cell_length_c 7.520
_cell_angle_alpha 90.00
_cell_angle_beta 90.00
_cell_angle_gamma 90.00
loop_
_space_group_symop_operation_xyz
'x,y,z'
loop_
_atom_site_label
_atom_site_type_symbol
_atom_site_fract_x
_atom_site_fract_y
_atom_site_fract_z
_atom_site_occupancy
Sm1 Sm 0.000 0.000 0.000 1
Sc1 Sc 0.000 0.000 0.484 1
Ag1 Ag 0.500 0.500 0.277 1
Hg1 Hg 0.500 0.500 0.714 1

# 5
# SmScAgHg (GGA-PBE, optimized geometry)
# M_tot: 0.0 μB per formula unit
# Polymorph energy (0 for the lowest one): 9 meV/atom
# Energy of formation: -0.34 eV/atom
# Symmetry: F-43m
data_SmScAgHg
_chemical_formula_sum 'Sm4 Sc4 Ag4 Hg4'
_space_group_name_H-M_alt 'P 1'
_space_group_IT_number 1
_cell_length_a 7.253
_cell_length_b 7.253
_cell_length_c 7.253
_cell_angle_alpha 90.00
_cell_angle_beta 90.00
_cell_angle_gamma 90.00
loop_
_space_group_symop_operation_xyz
'x,y,z'
loop_
_atom_site_label
_atom_site_type_symbol
_atom_site_fract_x
_atom_site_fract_y
_atom_site_fract_z
_atom_site_occupancy
Sm1 Sm 0.000 0.000 0.000 1
Sm2 Sm 0.000 0.500 0.500 1
Sm3 Sm 0.500 0.000 0.500 1
Sm4 Sm 0.500 0.500 0.000 1
Sc1 Sc 0.000 0.000 0.500 1
Sc2 Sc 0.000 0.500 0.000 1
Sc3 Sc 0.500 0.000 0.000 1
Sc4 Sc 0.500 0.500 0.500 1
Ag1 Ag 0.250 0.250 0.250 1
Ag2 Ag 0.250 0.750 0.750 1
Ag3 Ag 0.750 0.250 0.750 1
Ag4 Ag 0.750 0.750 0.250 1
Hg1 Hg 0.250 0.250 0.750 1
Hg2 Hg 0.250 0.750 0.250 1
Hg3 Hg 0.750 0.250 0.250 1
Hg4 Hg 0.750 0.750 0.750 1

# 6
# SmSc2AgHg4 (GGA-PBE, optimized geometry)
# M_tot: 0.0 μB per formula unit
# Energy of formation: -0.32 eV/atom
# Symmetry: R-3m
data_SmSc2AgHg4
_chemical_formula_sum 'Sm1 Sc2 Ag1 Hg4'
_space_group_name_H-M_alt 'P 1'
_space_group_IT_number 1
_cell_length_a 9.234
_cell_length_b 9.234
_cell_length_c 9.234
_cell_angle_alpha 30.89
_cell_angle_beta 30.89
_cell_angle_gamma 30.89
loop_
_space_group_symop_operation_xyz
'x,y,z'
loop_
_atom_site_label
_atom_site_type_symbol
_atom_site_fract_x
_atom_site_fract_y
_atom_site_fract_z
_atom_site_occupancy
Sm1 Sm 0.000 0.000 0.000 1
Sc1 Sc 0.239 0.239 0.239 1
Sc2 Sc 0.761 0.761 0.761 1
Ag1 Ag 0.500 0.500 0.500 1
Hg1 Hg 0.125 0.125 0.125 1
Hg2 Hg 0.384 0.384 0.384 1
Hg3 Hg 0.616 0.616 0.616 1
Hg4 Hg 0.875 0.875 0.875 1

# 7
# ScAgSnHg (GGA-PBE, optimized geometry)
# M_tot: 0.0 μB per formula unit
# Polymorph energy (0 for the lowest one): 0 meV/atom
# Energy of formation: -0.31 eV/atom
# Symmetry: Pmmm
data_ScAgSnHg
_chemical_formula_sum 'Sc1 Ag1 Sn1 Hg1'
_space_group_name_H-M_alt 'P 1'
_space_group_IT_number 1
_cell_length_a 4.189
_cell_length_b 4.395
_cell_length_c 4.642
_cell_angle_alpha 90.00
_cell_angle_beta 90.00
_cell_angle_gamma 90.00
loop_
_space_group_symop_operation_xyz
'x,y,z'
loop_
_atom_site_label
_atom_site_type_symbol
_atom_site_fract_x
_atom_site_fract_y
_atom_site_fract_z
_atom_site_occupancy
Sc1 Sc 0.000 0.000 0.000 1
Ag1 Ag 0.000 0.500 0.500 1
Sn1 Sn 0.500 0.500 0.000 1
Hg1 Hg 0.500 0.000 0.500 1

# 8
# ScAgSnHg (GGA-PBE, optimized geometry)
# M_tot: 0.0 μB per formula unit
# Polymorph energy (0 for the lowest one): 62 meV/atom
# Energy of formation: -0.24 eV/atom
# Symmetry: F-43m
data_ScAgSnHg
_chemical_formula_sum 'Sc4 Ag4 Sn4 Hg4'
_space_group_name_H-M_alt 'P 1'
_space_group_IT_number 1
_cell_length_a 7.019
_cell_length_b 7.019
_cell_length_c 7.019
_cell_angle_alpha 90.00
_cell_angle_beta 90.00
_cell_angle_gamma 90.00
loop_
_space_group_symop_operation_xyz
'x,y,z'
loop_
_atom_site_label
_atom_site_type_symbol
_atom_site_fract_x
_atom_site_fract_y
_atom_site_fract_z
_atom_site_occupancy
Sc1 Sc 0.000 0.000 0.000 1
Sc2 Sc 0.000 0.500 0.500 1
Sc3 Sc 0.500 0.000 0.500 1
Sc4 Sc 0.500 0.500 0.000 1
Ag1 Ag 0.000 0.000 0.500 1
Ag2 Ag 0.000 0.500 0.000 1
Ag3 Ag 0.500 0.000 0.000 1
Ag4 Ag 0.500 0.500 0.500 1
Sn1 Sn 0.250 0.250 0.250 1
Sn2 Sn 0.250 0.750 0.750 1
Sn3 Sn 0.750 0.250 0.750 1
Sn4 Sn 0.750 0.750 0.250 1
Hg1 Hg 0.250 0.250 0.750 1
Hg2 Hg 0.250 0.750 0.250 1
Hg3 Hg 0.750 0.250 0.250 1
Hg4 Hg 0.750 0.750 0.750 1

# 9
# SrScAgHg (GGA-PBE, optimized geometry)
# M_tot: 0.0 μB per formula unit
# Energy of formation: -0.23 eV/atom
# Symmetry: F-43m
data_SrScAgHg
_chemical_formula_sum 'Sr4 Sc4 Ag4 Hg4'
_space_group_name_H-M_alt 'P 1'
_space_group_IT_number 1
_cell_length_a 7.434
_cell_length_b 7.434
_cell_length_c 7.434
_cell_angle_alpha 90.00
_cell_angle_beta 90.00
_cell_angle_gamma 90.00
loop_
_space_group_symop_operation_xyz
'x,y,z'
loop_
_atom_site_label
_atom_site_type_symbol
_atom_site_fract_x
_atom_site_fract_y
_atom_site_fract_z
_atom_site_occupancy
Sr1 Sr 0.000 0.000 0.000 1
Sr2 Sr 0.000 0.500 0.500 1
Sr3 Sr 0.500 0.000 0.500 1
Sr4 Sr 0.500 0.500 0.000 1
Sc1 Sc 0.000 0.000 0.500 1
Sc2 Sc 0.000 0.500 0.000 1
Sc3 Sc 0.500 0.000 0.000 1
Sc4 Sc 0.500 0.500 0.500 1
Ag1 Ag 0.250 0.250 0.250 1
Ag2 Ag 0.250 0.750 0.750 1
Ag3 Ag 0.750 0.250 0.750 1
Ag4 Ag 0.750 0.750 0.250 1
Hg1 Hg 0.250 0.250 0.750 1
Hg2 Hg 0.250 0.750 0.250 1
Hg3 Hg 0.750 0.250 0.250 1
Hg4 Hg 0.750 0.750 0.750 1

# 10
# TbScAgHg (GGA-PBE, optimized geometry)
# M_tot: 0.0 μB per formula unit
# Energy of formation: -0.36 eV/atom
# Symmetry: F-43m
data_TbScAgHg
_chemical_formula_sum 'Tb4 Sc4 Ag4 Hg4'
_space_group_name_H-M_alt 'P 1'
_space_group_IT_number 1
_cell_length_a 7.185
_cell_length_b 7.185
_cell_length_c 7.185
_cell_angle_alpha 90.00
_cell_angle_beta 90.00
_cell_angle_gamma 90.00
loop_
_space_group_symop_operation_xyz
'x,y,z'
loop_
_atom_site_label
_atom_site_type_symbol
_atom_site_fract_x
_atom_site_fract_y
_atom_site_fract_z
_atom_site_occupancy
Tb1 Tb 0.000 0.000 0.000 1
Tb2 Tb 0.000 0.500 0.500 1
Tb3 Tb 0.500 0.000 0.500 1
Tb4 Tb 0.500 0.500 0.000 1
Sc1 Sc 0.000 0.000 0.500 1
Sc2 Sc 0.000 0.500 0.000 1
Sc3 Sc 0.500 0.000 0.000 1
Sc4 Sc 0.500 0.500 0.500 1
Ag1 Ag 0.250 0.250 0.250 1
Ag2 Ag 0.250 0.750 0.750 1
Ag3 Ag 0.750 0.250 0.750 1
Ag4 Ag 0.750 0.750 0.250 1
Hg1 Hg 0.250 0.250 0.750 1
Hg2 Hg 0.250 0.750 0.250 1
Hg3 Hg 0.750 0.250 0.250 1
Hg4 Hg 0.750 0.750 0.750 1

# 11
# ThScAgHg (GGA-PBE, optimized geometry)
# M_tot: 0.7 μB per formula unit
# Energy of formation: -0.19 eV/atom
# Symmetry: F-43m
data_ThScAgHg
_chemical_formula_sum 'Th4 Sc4 Ag4 Hg4'
_space_group_name_H-M_alt 'P 1'
_space_group_IT_number 1
_cell_length_a 7.336
_cell_length_b 7.336
_cell_length_c 7.336
_cell_angle_alpha 90.00
_cell_angle_beta 90.00
_cell_angle_gamma 90.00
loop_
_space_group_symop_operation_xyz
'x,y,z'
loop_
_atom_site_label
_atom_site_type_symbol
_atom_site_fract_x
_atom_site_fract_y
_atom_site_fract_z
_atom_site_occupancy
Th1 Th 0.000 0.000 0.000 1
Th2 Th 0.000 0.500 0.500 1
Th3 Th 0.500 0.000 0.500 1
Th4 Th 0.500 0.500 0.000 1
Sc1 Sc 0.000 0.000 0.500 1
Sc2 Sc 0.000 0.500 0.000 1
Sc3 Sc 0.500 0.000 0.000 1
Sc4 Sc 0.500 0.500 0.500 1
Ag1 Ag 0.250 0.250 0.250 1
Ag2 Ag 0.250 0.750 0.750 1
Ag3 Ag 0.750 0.250 0.750 1
Ag4 Ag 0.750 0.750 0.250 1
Hg1 Hg 0.250 0.250 0.750 1
Hg2 Hg 0.250 0.750 0.250 1
Hg3 Hg 0.750 0.250 0.250 1
Hg4 Hg 0.750 0.750 0.750 1

# 12
# ScTiAgHg (GGA-PBE, optimized geometry)
# M_tot: 1.5 μB per formula unit
# Energy of formation: -0.12 eV/atom
# Symmetry: F-43m
data_ScTiAgHg
_chemical_formula_sum 'Sc4 Ti4 Ag4 Hg4'
_space_group_name_H-M_alt 'P 1'
_space_group_IT_number 1
_cell_length_a 6.804
_cell_length_b 6.804
_cell_length_c 6.804
_cell_angle_alpha 90.00
_cell_angle_beta 90.00
_cell_angle_gamma 90.00
loop_
_space_group_symop_operation_xyz
'x,y,z'
loop_
_atom_site_label
_atom_site_type_symbol
_atom_site_fract_x
_atom_site_fract_y
_atom_site_fract_z
_atom_site_occupancy
Sc1 Sc 0.000 0.000 0.000 1
Sc2 Sc 0.000 0.500 0.500 1
Sc3 Sc 0.500 0.000 0.500 1
Sc4 Sc 0.500 0.500 0.000 1
Ti1 Ti 0.000 0.000 0.500 1
Ti2 Ti 0.000 0.500 0.000 1
Ti3 Ti 0.500 0.000 0.000 1
Ti4 Ti 0.500 0.500 0.500 1
Ag1 Ag 0.250 0.250 0.250 1
Ag2 Ag 0.250 0.750 0.750 1
Ag3 Ag 0.750 0.250 0.750 1
Ag4 Ag 0.750 0.750 0.250 1
Hg1 Hg 0.250 0.250 0.750 1
Hg2 Hg 0.250 0.750 0.250 1
Hg3 Hg 0.750 0.250 0.250 1
Hg4 Hg 0.750 0.750 0.750 1

Which of these has the highest M_tot?
ScTiAgHg